Compound: Na3Tm3VO8
Source: Alexandria via LeMat-Bulk
Functional: GGA+U
Structure: relaxed

For the size of the total moment, the calculation gives 2.000 μB per cell. The value obtained for the total energy is -209.90 eV for the cell shown.

The structure belongs to space group C2/m (No. 12); the cell edges are 11.352, 6.573 and 6.726 Å and the angles 90.00°, 124.51° and 90.00°. The asymmetric unit holds Na at (0.000, 0.000, 0.000), Na at (0.250, 0.250, 0.000), Tm at (0.000, 0.500, 0.500), Tm at (0.250, 0.250, 0.500), V at (0.000, 0.000, 0.500), O at (0.011, 0.227, 0.307), O at (0.213, 0.000, 0.690) and O at (0.237, 0.500, 0.709).